# 1
## SrNb (PBE)

Data for a relaxed structure of SrNb.

Computed properties:
SG: No. 187
E_tot: -4.755 eV per atom
Polymorph energy (0 for the lowest one): 0.00 eV/f.u.

Lattice parameters (Å, degrees): 3.267 3.267 5.720 90.00 90.00 120.00
Fractional coordinates of all 2 atoms:
Nb1 0.667 0.333 0.750
Sr1 0.333 0.667 0.250

***

# 2
## Sr2Nb (PBE)

Data for a relaxed structure of Sr2Nb.

Computed properties:
SG: No. 227
E_tot: -3.021 eV per atom
Polymorph energy (0 for the lowest one): 0.00 eV/f.u.

Lattice parameters (Å, degrees): 6.841 6.841 6.841 60.00 60.00 60.00
Each line ends with the local moment (μB).
Fractional coordinates of all 6 atoms:
Nb1 0.000 0.000 0.000  2.52
Nb2 0.250 0.250 0.250  2.52
Sr1 0.625 0.625 0.125  0.11
Sr2 0.625 0.125 0.625  0.11
Sr3 0.125 0.625 0.625  0.10
Sr4 0.625 0.625 0.625  0.11

***

# 3
## SrTaNb (PBE)

Data for a relaxed structure of SrTaNb.

Computed properties:
SG: No. 216
E_tot: -5.388 eV per atom
Polymorph energy (0 for the lowest one): 2.94 eV/f.u.

Lattice parameters (Å, degrees): 4.815 4.815 4.815 60.00 60.00 60.00
Fractional coordinates of all 3 atoms:
Nb1 0.250 0.250 0.250
Sr1 0.000 0.000 0.000
Ta1 0.750 0.750 0.750

***

# 4
## SrTaNb (PBE)

Data for a relaxed structure of SrTaNb.

Computed properties:
SG: No. 216
E_tot: -6.369 eV per atom
Polymorph energy (0 for the lowest one): 0.00 eV/f.u.

Lattice parameters (Å, degrees): 4.812 4.812 4.812 60.00 60.00 60.00
Fractional coordinates of all 3 atoms:
Nb1 0.000 0.000 0.000
Sr1 0.250 0.250 0.250
Ta1 0.750 0.750 0.750

***

# 5
## SrNbTc (PBE)

Data for a relaxed structure of SrNbTc.

Computed properties:
SG: No. 216
E_tot: -6.412 eV per atom
Polymorph energy (0 for the lowest one): 0.00 eV/f.u.

Lattice parameters (Å, degrees): 4.658 4.658 4.658 60.00 60.00 60.00
Fractional coordinates of all 3 atoms:
Nb1 0.500 0.500 0.500
Sr1 0.000 0.000 0.000
Tc1 0.250 0.250 0.250

***

# 6
## SrNbTc (PBE)

Data for a relaxed structure of SrNbTc.

Computed properties:
SG: No. 216
E_tot: -5.076 eV per atom
Polymorph energy (0 for the lowest one): 4.01 eV/f.u.

Lattice parameters (Å, degrees): 4.617 4.617 4.617 60.00 60.00 60.00
Fractional coordinates of all 3 atoms:
Nb1 0.250 0.250 0.250
Sr1 0.000 0.000 0.000
Tc1 0.750 0.750 0.750

***

# 7
## SrNb2Tc (PBE)

Data for a relaxed structure of SrNb2Tc.

Computed properties:
SG: No. 216
E_tot: -7.210 eV per atom

Lattice parameters (Å, degrees): 4.825 4.825 4.825 60.00 60.00 60.00
Fractional coordinates of all 4 atoms:
Nb1 0.250 0.250 0.250
Nb2 0.500 0.500 0.500
Sr1 0.750 0.750 0.750
Tc1 0.000 0.000 0.000

***

# 8
## Sr2NbTc (PBE)

Data for a relaxed structure of Sr2NbTc.

Computed properties:
SG: No. 216
E_tot: -4.988 eV per atom

Lattice parameters (Å, degrees): 5.136 5.136 5.136 60.00 60.00 60.00
Each line ends with the local moment (μB).
Fractional coordinates of all 4 atoms:
Nb1 0.750 0.750 0.750  0.08
Sr1 0.250 0.250 0.250  0.00
Sr2 0.500 0.500 0.500  0.00
Tc1 0.000 0.000 0.000  -0.06